Entry 1:
An optimized crystal structure of HfNi2PtI. Source: Alexandria via LeMat-Bulk, functional PBE-GGA.

```
5
Lattice="4.624 0.000 0.000 0.000 5.150 0.000 0.000 0.000 4.624" Properties=species:S:1:pos:R:3 pbc="T T T"
Ni 2.312 0.000 0.000
Ni 0.000 0.000 2.312
Hf 2.312 2.575 2.312
I 0.000 2.575 0.000
Pt 0.000 0.000 0.000
```

Entry 2:
An optimized crystal structure of HfNiSb2I. Source: Alexandria via LeMat-Bulk, functional PBE-GGA.

```
5
Lattice="-2.597 -0.365 -4.208 -3.972 -1.470 2.578 -1.490 4.894 0.495" Properties=species:S:1:pos:R:3 pbc="T T T"
Ni 0.000 0.000 0.000
Sb -1.298 -0.182 -2.104
Sb -1.986 -0.735 1.289
Hf -4.029 1.530 -0.568
I -0.745 2.447 0.248
```

Results
- ΔE to the lowest computed polymorph (meV per atom) = 0

Entry 3:
An optimized crystal structure of HfNiSb2I. Source: Alexandria via LeMat-Bulk, functional PBE-GGA.

```
5
Lattice="5.556 0.000 0.000 0.000 5.556 0.000 0.000 0.000 5.537" Properties=species:S:1:pos:R:3 pbc="T T T"
Ni 2.778 2.778 2.768
Hf 0.000 0.000 0.000
Sb 2.778 0.000 0.000
Sb 0.000 2.778 0.000
I 0.000 0.000 2.768
```

Results
- ΔE to the lowest computed polymorph (meV per atom) = 263

Entry 4:
An optimized crystal structure of HfIO. Source: Alexandria via LeMat-Bulk, functional PBE-GGA.

```
12
Lattice="-2.385 1.283 -3.226 3.977 -4.192 -4.609 -5.212 -7.996 3.442" Properties=species:S:1:pos:R:3 pbc="T T T"
O -1.025 -7.472 -4.955
O -2.910 -4.425 -2.349
O -0.711 -6.480 -2.043
O -2.595 -3.433 0.563
Hf -3.305 -2.541 -1.307
Hf -0.315 -8.364 -3.085
Hf -1.837 -5.811 -3.695
Hf -1.784 -5.094 -0.698
I -3.984 -6.758 0.268
I -0.108 -2.637 -0.962
I 0.363 -4.148 -4.660
I -3.513 -8.268 -3.431
```

Entry 5:
An optimized crystal structure of HfIO6. Source: Alexandria via LeMat-Bulk, functional PBE-GGA.

```
8
Lattice="-0.332 -5.491 -0.560 4.581 -2.973 -0.869 1.946 -3.309 3.983" Properties=species:S:1:pos:R:3 pbc="T T T"
I 0.000 0.000 0.000
O 3.687 -7.244 -0.140
O 3.888 -4.368 0.149
O 1.302 -5.664 0.315
O 2.307 -7.404 2.404
O 2.508 -4.528 2.694
O 4.893 -6.109 2.238
Hf 3.097 -5.886 1.277
```

Entry 6:
An optimized crystal structure of HfI2O2. Source: Alexandria via LeMat-Bulk, functional PBE-GGA.

```
5
Lattice="4.895 0.000 0.000 0.000 4.895 0.000 0.000 0.000 3.871" Properties=species:S:1:pos:R:3 pbc="T T T"
O 0.000 0.000 0.000
O 0.000 0.000 1.936
I 0.000 2.447 0.000
I 2.447 0.000 0.000
Hf 2.447 2.447 1.936
```

Results
- ΔE to the lowest computed polymorph (meV per atom) = 1872

Calculated volume across the listed records, respectively: 22.0; 25.3; 34.2; 25.7; 15.0; 18.6 A^3/atom.
Formation energy (no corrections) across the listed records, respectively: 1.05; 0.52; 0.78; -1.94; -1.26; 0.60 eV/atom.